(1)
Zr2GaPdPt: optimized geometry, PBE-GGA.

a = 4.9944 Å, b = 4.9944 Å, c = 4.9953 Å
α = 90.00°, β = 90.00°, γ = 90.00°
Last column: nearest neighbours and their distance in Å.
Atoms (fractional coordinates):
Zr (0.0000, 0.5000, 0.0000)  2 Pt 2.50
Zr (0.5000, 0.0000, 0.0000)  2 Pt 2.50
Ga (0.0000, 0.0000, 0.5000)  4 Pd 3.53, 8 Zr 3.53
Pd (0.5000, 0.5000, 0.5000)  2 Pt 2.50
Pt (0.5000, 0.5000, 0.0000)  4 Zr 2.50, 2 Pd 2.50

## Properties
* electronic total energy: -29.96 eV per cell
* formation energy: 0.28 eV/atom
* SG: No. 123

(2)
Li2AgF: optimized geometry, PBE-GGA.

a = 2.7175 Å, b = 2.7175 Å, c = 6.9389 Å
α = 90.00°, β = 90.00°, γ = 90.00°
Last column: nearest neighbours and their distance in Å.
Atoms (fractional coordinates):
Li (0.0000, 0.0000, 0.1779)  4 F 2.28, 1 Li 2.47
Li (0.0000, 0.0000, 0.8221)  4 F 2.28, 1 Li 2.47
Ag (0.5000, 0.5000, 0.5000)  4 Ag 2.72, 8 Li 2.95
F (0.5000, 0.5000, 0.0000)  8 Li 2.28

## Properties
* energy above the lowest structure with this stoichiometry: 151.8 meV per atom
* electronic total energy: -13.92 eV per cell
* formation energy (no corrections): -1341.4 meV/atom
* SG: No. 123